No. 1
An optimized crystal structure of NdYHo. Source: Alexandria via LeMat-Bulk, functional GGA-PBE.

Results
space-group type = No. 107
magnetization = 0.0 μB per cell

a = 3.595 Å, b = 3.595 Å, c = 8.036 Å
α = 102.92°, β = 102.92°, γ = 90.00°
Sites, in units of the cell vectors:
Y (0.002, 0.002, 0.004)
Nd (0.332, 0.332, 0.665)
Ho (0.666, 0.666, 0.332)

=====

No. 2
An optimized crystal structure of Nd2YHo7. Source: Alexandria via LeMat-Bulk, functional GGA-PBE.

Results
space-group type = No. 65
magnetization = 0.0 μB per cell

a = 3.539 Å, b = 10.109 Å, c = 10.109 Å
α = 109.06°, β = 90.00°, γ = 90.00°
Sites, in units of the cell vectors:
Nd (0.500, 0.174, 0.826)
Nd (0.500, 0.826, 0.174)
Ho (0.500, 0.500, 0.500)
Ho (0.500, 0.386, 0.131)
Ho (0.500, 0.614, 0.869)
Ho (0.000, 0.330, 0.670)
Ho (0.500, 0.869, 0.614)
Ho (0.500, 0.131, 0.386)
Ho (0.000, 0.670, 0.330)
Y (0.000, 0.000, 0.000)

=====

| no. | polymorph energy (0 for the lowest one) (meV per atom) |
| --- | --- |
| 1 | 26 |
| 2 | 412 |